Compound: KCdCu2Cl6
Source: the Alexandria database
Functional: GGA-PBE
Structure: relaxed

```
KCdCu2Cl6
1.0
6.697 -6.347 0.000
6.697 6.347 0.000
-3.003 0.000 7.113
K Cd Cu Cl
2 2 4 12
Cartesian
4.445 4.681 5.335
5.947 -4.681 1.778
5.947 3.700 1.778
4.445 -3.700 5.335
1.758 0.697 5.751
3.260 -0.697 2.195
7.131 0.697 4.918
8.633 -0.697 1.362
-0.406 0.932 4.802
2.324 2.826 6.674
1.096 -0.932 1.246
3.077 0.733 3.914
6.566 2.826 3.995
4.579 -0.733 0.358
5.813 0.733 6.755
3.826 -2.826 3.118
7.314 -0.733 3.199
9.296 0.932 5.867
8.068 -2.826 0.439
10.797 -0.932 2.311
```

Values from the calculation:
The value obtained for the total magnetization is 2.12 Bohr magnetons per cell. The uncorrected formation energy is -902.6 kJ/mol of formula units. The total energy is -3.064 eV/atom.